The following is a PBE calculation of crystalline Ce2MnGa at its relaxed geometry, from Alexandria via LeMat-Bulk.

a = 5.052 Å, b = 5.052 Å, c = 5.052 Å
α = 60.00°, β = 60.00°, γ = 60.00°
Fractional coordinates of all 4 atoms:
Mn (0.000, 0.000, 0.000)
Ga (0.500, 0.500, 0.500)
Ce (0.250, 0.250, 0.250)
Ce (0.750, 0.750, 0.750)

Results
Distance to the lowest polymorph of the same formula = 182 meV/atom

***

The following is a PBE calculation of crystalline CeMnGa3 at its relaxed geometry, from Alexandria via LeMat-Bulk.

a = 4.601 Å, b = 4.601 Å, c = 4.601 Å
α = 90.00°, β = 90.00°, γ = 90.00°
Fractional coordinates of all 5 atoms:
Mn (0.000, 0.000, 0.000)
Ga (0.000, 0.500, 0.000)
Ga (0.000, 0.000, 0.500)
Ga (0.500, 0.000, 0.000)
Ce (0.500, 0.500, 0.500)

***

The following is a PBE calculation of crystalline Ce4Mn3Ga16 at its relaxed geometry, from Alexandria via LeMat-Bulk.

a = 6.195 Å, b = 6.195 Å, c = 11.254 Å
α = 90.00°, β = 90.00°, γ = 90.00°
Fractional coordinates of all 23 atoms:
Ce (0.500, 0.000, 0.806)
Ce (0.000, 0.500, 0.194)
Ce (0.000, 0.500, 0.806)
Ce (0.500, 0.000, 0.194)
Mn (0.000, 0.500, 0.500)
Mn (0.000, 0.000, 0.000)
Mn (0.500, 0.000, 0.500)
Ga (0.000, 0.000, 0.778)
Ga (0.285, 0.285, 0.000)
Ga (0.500, 0.500, 0.806)
Ga (0.715, 0.285, 0.000)
Ga (0.500, 0.500, 0.194)
Ga (0.715, 0.715, 0.000)
Ga (0.000, 0.000, 0.222)
Ga (0.750, 0.750, 0.617)
Ga (0.750, 0.250, 0.383)
Ga (0.250, 0.250, 0.617)
Ga (0.250, 0.750, 0.383)
Ga (0.285, 0.715, 0.000)
Ga (0.750, 0.750, 0.383)
Ga (0.750, 0.250, 0.617)
Ga (0.250, 0.250, 0.383)
Ga (0.250, 0.750, 0.617)

***

The following is a PBE calculation of crystalline CeMn3Ga3 at its relaxed geometry, from Alexandria via LeMat-Bulk.

a = 6.742 Å, b = 6.742 Å, c = 6.742 Å
α = 90.00°, β = 90.00°, γ = 90.00°
Fractional coordinates of all 14 atoms:
Mn (0.250, 0.000, 0.500)
Mn (0.000, 0.500, 0.250)
Mn (0.500, 0.750, 0.000)
Mn (0.750, 0.000, 0.500)
Mn (0.000, 0.500, 0.750)
Mn (0.500, 0.250, 0.000)
Ga (0.000, 0.250, 0.500)
Ga (0.000, 0.750, 0.500)
Ga (0.500, 0.000, 0.750)
Ga (0.750, 0.500, 0.000)
Ga (0.500, 0.000, 0.250)
Ga (0.250, 0.500, 0.000)
Ce (0.500, 0.500, 0.500)
Ce (0.000, 0.000, 0.000)

***

The following is a PBE calculation of crystalline Ce2MnGa at its relaxed geometry, from Alexandria via LeMat-Bulk.

a = 4.434 Å, b = 4.366 Å, c = 4.366 Å
α = 90.00°, β = 90.00°, γ = 90.00°
Fractional coordinates of all 4 atoms:
Mn (0.500, 0.500, 0.500)
Ga (0.500, 0.000, 0.000)
Ce (0.000, 0.000, 0.500)
Ce (0.000, 0.500, 0.000)

Results
Distance to the lowest polymorph of the same formula = 95 meV/atom

***

The following is a PBE calculation of crystalline Ce2MnGa at its relaxed geometry, from Alexandria via LeMat-Bulk.

a = 3.056 Å, b = 3.056 Å, c = 10.678 Å
α = 81.77°, β = 81.77°, γ = 60.00°
Fractional coordinates of all 4 atoms:
Mn (0.500, 0.500, 0.500)
Ga (0.000, 0.000, 0.000)
Ce (0.099, 0.099, 0.702)
Ce (0.901, 0.901, 0.298)

Results
Distance to the lowest polymorph of the same formula = 594 meV/atom

***

The following is a PBE calculation of crystalline Ce2MnGa5 at its relaxed geometry, from Alexandria via LeMat-Bulk.

a = 6.186 Å, b = 6.186 Å, c = 6.186 Å
α = 90.40°, β = 119.77°, γ = 119.77°
Fractional coordinates of all 8 atoms:
Ce (0.500, 0.250, 0.750)
Ce (0.500, 0.750, 0.250)
Mn (0.000, 0.968, 0.968)
Ga (0.427, 0.711, 0.711)
Ga (0.000, 0.711, 0.284)
Ga (0.000, 0.284, 0.711)
Ga (0.573, 0.284, 0.284)
Ga (0.000, 0.263, 0.263)

***

The following is a PBE calculation of crystalline Ce2MnGa at its relaxed geometry, from Alexandria via LeMat-Bulk.

a = 3.661 Å, b = 3.661 Å, c = 6.516 Å
α = 90.00°, β = 90.00°, γ = 90.00°
Fractional coordinates of all 4 atoms:
Mn (0.500, 0.500, 0.000)
Ga (0.500, 0.500, 0.500)
Ce (0.000, 0.000, 0.774)
Ce (0.000, 0.000, 0.226)

Results
Distance to the lowest polymorph of the same formula = 166 meV/atom

***

The following is a PBE calculation of crystalline Ce3MnGa at its relaxed geometry, from Alexandria via LeMat-Bulk.

a = 4.992 Å, b = 4.992 Å, c = 4.992 Å
α = 90.00°, β = 90.00°, γ = 90.00°
Fractional coordinates of all 5 atoms:
Mn (0.000, 0.000, 0.000)
Ga (0.500, 0.500, 0.500)
Ce (0.000, 0.500, 0.000)
Ce (0.000, 0.000, 0.500)
Ce (0.500, 0.000, 0.000)

Results
Distance to the lowest polymorph of the same formula = 0 meV/atom

***

The following is a PBE calculation of crystalline CeMnGa4 at its relaxed geometry, from Alexandria via LeMat-Bulk.

a = 4.091 Å, b = 6.851 Å, c = 7.633 Å
α = 90.00°, β = 90.00°, γ = 90.00°
Fractional coordinates of all 12 atoms:
Ce (0.000, 0.625, 0.750)
Ce (0.000, 0.375, 0.250)
Mn (0.000, 0.206, 0.750)
Mn (0.000, 0.794, 0.250)
Ga (0.000, 0.000, 0.500)
Ga (0.000, 0.000, 0.000)
Ga (0.500, 0.954, 0.750)
Ga (0.500, 0.046, 0.250)
Ga (0.500, 0.686, 0.065)
Ga (0.500, 0.314, 0.935)
Ga (0.500, 0.686, 0.435)
Ga (0.500, 0.314, 0.565)

***

The following is a PBE calculation of crystalline CeMnGa4 at its relaxed geometry, from Alexandria via LeMat-Bulk.

a = 4.962 Å, b = 6.456 Å, c = 8.109 Å
α = 113.46°, β = 106.89°, γ = 90.00°
Fractional coordinates of all 12 atoms:
Ce (0.194, 0.211, 0.421)
Ce (0.806, 0.789, 0.579)
Mn (0.753, 0.514, 0.027)
Mn (0.247, 0.486, 0.973)
Ga (0.810, 0.342, 0.683)
Ga (0.587, 0.327, 0.211)
Ga (0.000, 0.182, 0.000)
Ga (0.413, 0.116, 0.789)
Ga (0.190, 0.658, 0.317)
Ga (0.413, 0.673, 0.789)
Ga (0.000, 0.818, 0.000)
Ga (0.587, 0.884, 0.211)

***

The following is a PBE calculation of crystalline Ce2MnGa3Ni12 at its relaxed geometry, from Alexandria via LeMat-Bulk.

a = 8.946 Å, b = 8.946 Å, c = 8.946 Å
α = 40.16°, β = 40.16°, γ = 40.16°
Fractional coordinates of all 18 atoms:
Ce (0.657, 0.657, 0.657)
Ce (0.343, 0.343, 0.343)
Mn (0.000, 0.000, 0.000)
Ga (0.500, 0.000, 0.000)
Ga (0.000, 0.500, 0.000)
Ga (0.000, 0.000, 0.500)
Ni (0.420, 0.420, 0.811)
Ni (0.923, 0.923, 0.358)
Ni (0.358, 0.923, 0.923)
Ni (0.811, 0.420, 0.420)
Ni (0.923, 0.358, 0.923)
Ni (0.420, 0.811, 0.420)
Ni (0.580, 0.580, 0.189)
Ni (0.077, 0.077, 0.642)
Ni (0.642, 0.077, 0.077)
Ni (0.189, 0.580, 0.580)
Ni (0.077, 0.642, 0.077)
Ni (0.580, 0.189, 0.580)

***

Results for Fermi-level density of states: 9.46 8.84 20.77 21.31 7.01 8.77 11.12 8.43 9.48 11.02 12.44 16.97 (in states/eV per cell, following the order of the records).
Results for energy of formation from the pure elements: -63 -321 -427 382 -150 349 -353 -79 -116 -372 -275 12 (in meV/atom, following the order of the records).
Results for energy: -24.32 -25.79 -109.50 -79.70 -24.66 -22.67 -38.99 -24.38 -30.58 -58.89 -57.72 -99.27 (in eV/cell, following the order of the records).